(1)
DFT (GGA-PBE) results for an optimized crystal structure of Cd2In2Ag.

Calculated values
E_form = 0.216 eV/atom
D(E_F) = 0.4261 states/eV per atom
final energy = -9.08 eV for the cell shown
relative energy among the computed polymorphs = 0.120 eV/atom

Lattice parameters (Å, degrees): 4.214 4.214 7.784 74.29 74.29 90.00
Fractional positions:
Cd 0.406 0.406 0.188
Cd 0.594 0.594 0.812
In 0.750 0.250 0.500
In 0.250 0.750 0.500
Ag 0.000 0.000 0.000

---

(2)
DFT (GGA-PBE) results for an optimized crystal structure of TeIr2OsCl.

Calculated values
raw formation energy = 2168 meV/atom
D(E_F) = 1.0196 states/eV per atom
final energy = -23.10 eV for the cell shown

Lattice parameters (Å, degrees): 4.883 4.974 4.883 90.00 90.00 90.00
Each line ends with the local moment (μB).
Fractional positions:
Cl 0.000 0.500 0.000  0.05
Ir 0.500 0.000 0.000  0.19
Ir 0.000 0.000 0.500  0.08
Te 0.000 0.000 0.000  0.00
Os 0.500 0.500 0.500  2.87

---

(3)
DFT (GGA-PBE) results for an optimized crystal structure of K2BaSn9.

Calculated values
E_form = -0.229 eV/atom
D(E_F) = 0.3981 states/eV per atom
final energy = -42.89 eV for the cell shown

Lattice parameters (Å, degrees): 6.607 6.607 10.963 72.46 72.46 60.00
Fractional positions:
Sn 0.659 0.659 0.022
Sn 0.590 0.071 0.749
Sn 0.341 0.341 0.978
Sn 0.929 0.410 0.251
Sn 0.410 0.929 0.251
Sn 0.500 0.500 0.500
Sn 0.410 0.410 0.251
Sn 0.071 0.590 0.749
Sn 0.590 0.590 0.749
K 0.857 0.857 0.428
K 0.143 0.143 0.572
Ba 0.000 0.000 0.000

---

(4)
DFT (GGA-PBE) results for an optimized crystal structure of Ga2Se3.

Calculated values
raw formation energy = -590 meV/atom
final energy = -38.91 eV for the cell shown

Lattice parameters (Å, degrees): 6.880 6.880 6.761 80.90 80.90 120.77
Fractional positions:
Se 0.586 0.742 0.113
Se 0.047 0.218 0.638
Se 0.385 0.902 0.607
Se 0.742 0.586 0.613
Se 0.902 0.385 0.107
Se 0.218 0.047 0.138
Ga 0.783 0.280 0.495
Ga 0.280 0.783 0.995
Ga 0.584 0.414 0.999
Ga 0.414 0.584 0.499

---

(5)
DFT (GGA-PBE) results for an optimized crystal structure of Tl2CoPt2.

Calculated values
E_form = 0.246 eV/atom
D(E_F) = 1.0612 states/eV per atom
final energy = -45.38 eV for the cell shown
relative energy among the computed polymorphs = 0.000 eV/atom

Lattice parameters (Å, degrees): 6.644 6.644 4.426 90.00 90.00 90.00
Each line ends with the local moment (μB).
Fractional positions:
Tl 0.827 0.327 0.500  0.00
Tl 0.173 0.673 0.500  0.00
Tl 0.673 0.827 0.500  0.01
Tl 0.327 0.173 0.500  0.01
Pt 0.144 0.356 0.000  0.14
Pt 0.356 0.856 0.000  0.16
Pt 0.644 0.144 0.000  0.16
Pt 0.856 0.644 0.000  0.14
Co 0.000 0.000 0.000  1.87
Co 0.500 0.500 0.000  1.88

---

(6)
DFT (GGA-PBE) results for an optimized crystal structure of Ba2SrCa8.

Calculated values
E_form = 0.123 eV/atom
D(E_F) = 1.2953 states/eV per atom
final energy = -20.19 eV for the cell shown
relative energy among the computed polymorphs = 0.000 eV/atom

Lattice parameters (Å, degrees): 5.522 5.522 17.885 90.00 90.00 90.00
Fractional positions:
Ca 0.500 0.500 0.333
Ca 0.000 0.500 0.835
Ca 0.000 0.500 0.165
Ca 0.000 0.500 0.500
Ca 0.500 0.000 0.835
Ca 0.500 0.000 0.165
Ca 0.500 0.500 0.667
Ca 0.500 0.000 0.500
Sr 0.000 0.000 0.000
Ba 0.000 0.000 0.330
Ba 0.000 0.000 0.670

---

(7)
DFT (GGA-PBE) results for an optimized crystal structure of Mn3NbPt6.

Calculated values
E_form = -0.440 eV/atom
D(E_F) = 0.5823 states/eV per atom
final energy = -156.44 eV for the cell shown

Lattice parameters (Å, degrees): 4.032 8.596 8.981 92.87 90.00 90.00
Each line ends with the local moment (μB).
Fractional positions:
Mn 0.250 0.552 0.398  3.77
Mn 0.750 0.251 0.014  3.82
Mn 0.250 0.349 0.807  3.87
Mn 0.750 0.448 0.602  3.77
Mn 0.250 0.749 0.986  3.82
Mn 0.750 0.651 0.193  3.87
Pt 0.750 0.847 0.795  0.08
Pt 0.250 0.459 0.102  0.31
Pt 0.250 0.848 0.300  0.15
Pt 0.750 0.152 0.700  0.15
Pt 0.250 0.060 0.903  0.21
Pt 0.750 0.751 0.493  0.14
Pt 0.750 0.365 0.310  0.25
Pt 0.250 0.635 0.690  0.25
Pt 0.250 0.249 0.507  0.14
Pt 0.250 0.153 0.205  0.08
Pt 0.750 0.541 0.898  0.31
Pt 0.750 0.940 0.097  0.21
Nb 0.750 0.059 0.383  -0.15
Nb 0.250 0.941 0.617  -0.15

---

(8)
DFT (GGA-PBE) results for an optimized crystal structure of CdGaPb.

Calculated values
E_form = 0.064 eV/atom
D(E_F) = 0.3272 states/eV per atom
final energy = -7.46 eV for the cell shown
relative energy among the computed polymorphs = 0.015 eV/atom

Lattice parameters (Å, degrees): 3.484 3.484 6.634 105.22 105.22 90.00
Fractional positions:
Ga 0.679 0.679 0.357
Pb 0.005 0.005 0.010
Cd 0.317 0.317 0.633

---

Which value of final energy does entry 6 give?
-20.19 eV for the cell shown